(1)
VASP calculation (GGA-PBEsol) on a geometry-optimized Al2SeN structure.

a b c (Å): 4.2383 4.2383 4.2383
angles (deg): 60.00 60.00 60.00
Fractional positions:
Al1 0.2500 0.2500 0.2500
Al2 0.7500 0.7500 0.7500
Se1 0.5000 0.5000 0.5000
N1 0.0000 0.0000 0.0000

Output
Total DFT energy (no corrections) = -4.651 eV/atom
Magnetization = 0.000 μB/f.u.
Formation energy without anion corrections = 47.13 kJ/mol of atoms

(2)
VASP calculation (GGA-PBEsol) on a geometry-optimized Gd2AlZn structure.

a b c (Å): 5.0526 5.0526 5.0526
angles (deg): 60.00 60.00 60.00
Fractional positions:
Zn1 0.0000 0.0000 0.0000
Gd1 0.7500 0.7500 0.7500
Gd2 0.2500 0.2500 0.2500
Al1 0.5000 0.5000 0.5000

Output
Total DFT energy (no corrections) = -9.015 eV/atom
Magnetization = 14.721 μB/f.u.

(3)
VASP calculation (GGA-PBEsol) on a geometry-optimized BaW2Cl structure.

a b c (Å): 3.2915 4.7492 6.5314
angles (deg): 90.00 90.00 90.35
Fractional positions:
Ba1 0.0000 0.0000 0.5000
W1 0.2574 0.1845 0.0000
W2 0.7426 0.8155 0.0000
Cl1 0.5000 0.5000 0.5000

Output
Total DFT energy (no corrections) = -7.272 eV/atom
Magnetization = 0.000 μB/f.u.
Formation energy without anion corrections = 64.72 kJ/mol of atoms

(4)
VASP calculation (GGA-PBEsol) on a geometry-optimized Cr4Mo3 structure.

a b c (Å): 2.9601 2.9601 10.5891
angles (deg): 98.03 98.03 90.00
Fractional positions:
Cr1 0.1383 0.1383 0.2766
Cr2 0.4282 0.4282 0.8564
Cr3 0.5718 0.5718 0.1436
Cr4 0.8617 0.8617 0.7234
Mo1 0.0000 0.0000 0.0000
Mo2 0.2901 0.2901 0.5802
Mo3 0.7099 0.7099 0.4198

Output
Total DFT energy (no corrections) = -10.800 eV/atom
Magnetization = 0.000 μB/f.u.

(5)
VASP calculation (GGA-PBEsol) on a geometry-optimized NaScP2H2O8 structure.

a b c (Å): 9.0921 9.3762 9.6700
angles (deg): 108.26 107.05 111.40
Fractional positions:
Na1 0.5792 0.2079 0.3460
Na2 0.0804 0.7863 0.3755
Na3 0.7332 0.8619 0.6540
Na4 0.2049 0.4108 0.6245
Sc1 0.6226 0.5838 0.2255
Sc2 0.8971 0.3583 0.7745
Sc3 0.3663 0.8608 0.7276
Sc4 0.1388 0.1333 0.2725
P1 0.3058 0.1556 0.9957
P2 0.9069 0.5787 0.5509
P3 0.8101 0.1600 0.0043
P4 0.4373 0.1845 0.6222
P5 0.8560 0.0278 0.4491
P6 0.3151 0.5623 0.3778
P7 0.8678 0.6953 0.0308
P8 0.3370 0.6646 0.9692
H1 0.4396 0.3308 0.8528
H2 0.7559 0.3556 0.1308
H3 0.0868 0.4780 0.1472
H4 0.1251 0.2249 0.8692
H5 0.8781 0.6603 0.7718
H6 0.2960 0.8829 0.0107
H7 0.6063 0.8885 0.2282
H8 0.7853 0.8722 0.9893
O1 0.2979 0.1685 0.1544
O2 0.1247 0.1181 0.8647
O3 0.3268 0.9985 0.9191
O4 0.3326 0.0115 0.6177
O5 0.4557 0.3262 0.0256
O6 0.6435 0.0141 0.8456
O7 0.7600 0.2533 0.1353
O8 0.8637 0.6907 0.6776
O9 0.9077 0.0794 0.0809
O10 0.7613 0.5101 0.3783
O11 0.4164 0.3280 0.7423
O12 0.3626 0.1767 0.4546
O13 0.6331 0.2387 0.6801
O14 0.2149 0.3938 0.3823
O15 0.0911 0.6922 0.5726
O16 0.9301 0.3006 0.9744
O17 0.7881 0.5889 0.1095
O18 0.6861 0.0131 0.3224
O19 0.8829 0.1318 0.6217
O20 0.1742 0.5857 0.2577
O21 0.7353 0.7414 0.9342
O22 0.4079 0.7221 0.5454
O23 0.9057 0.5903 0.9019
O24 0.4531 0.5586 0.3199
O25 0.0185 0.1196 0.4274
O26 0.8979 0.4276 0.5872
O27 0.1785 0.4794 0.8905
O28 0.0353 0.8672 0.1680
O29 0.3011 0.8072 0.0658
O30 0.5038 0.6884 0.0981
O31 0.8107 0.8404 0.4128
O32 0.3673 0.6992 0.8320

Output
Total DFT energy (no corrections) = -7.172 eV/atom
Magnetization = 0.000 μB/f.u.

(6)
VASP calculation (GGA-PBEsol) on a geometry-optimized ErMgTl2 structure.

a b c (Å): 5.1617 5.1617 5.1617
angles (deg): 60.00 60.00 60.00
Fractional positions:
Tl1 0.7500 0.7500 0.7500
Tl2 0.2500 0.2500 0.2500
Mg1 0.5000 0.5000 0.5000
Er1 0.0000 0.0000 0.0000

Output
Total DFT energy (no corrections) = -3.238 eV/atom
Magnetization = 0.000 μB/f.u.

(7)
VASP calculation (GGA-PBEsol) on a geometry-optimized Sc2CrIn structure.

a b c (Å): 3.2994 3.2994 7.0906
angles (deg): 90.00 90.00 90.00
Fractional positions:
Cr1 0.5000 0.5000 0.0000
In1 0.5000 0.5000 0.5000
Sc1 0.0000 0.0000 0.7801
Sc2 0.0000 0.0000 0.2199

Output
Total DFT energy (no corrections) = -6.703 eV/atom
Magnetization = 2.177 μB/f.u.

(8)
VASP calculation (GGA-PBEsol) on a geometry-optimized NiBrCl structure.

a b c (Å): 3.5104 3.5104 5.9903
angles (deg): 90.00 90.00 120.00
Fractional positions:
Ni1 0.6667 0.3333 0.3427
Br1 0.0000 0.0000 0.1061
Cl1 0.3333 0.6667 0.5511

Output
Total DFT energy (no corrections) = -3.786 eV/atom
Magnetization = 2.000 μB/f.u.
Formation energy without anion corrections = -42.58 kJ/mol of atoms